[1]
## PrAg4Sn4 (PBE)

Data for a geometry-optimized PrAg4Sn4 structure.

a = 6.6064 Å, b = 6.6064 Å, c = 9.9282 Å
α = 90.00°, β = 90.00°, γ = 90.00°
Element x y z (fractional)
Ag  0.0000  0.2852  0.4379
Ag  0.0000  0.7148  0.4379
Ag  0.7148  0.0000  0.5621
Sn  0.5000  0.2331  0.7803
Pr  0.5000  0.5000  0.5000
Ag  0.5000  0.7852  0.0621
Sn  0.2669  0.0000  0.2803
Ag  0.7852  0.5000  0.9379
Sn  0.0000  0.7331  0.7197
Sn  0.7331  0.0000  0.2803
Ag  0.5000  0.2148  0.0621
Ag  0.2148  0.5000  0.9379
Pr  0.0000  0.0000  0.0000
Sn  0.5000  0.7669  0.7803
Sn  0.7669  0.5000  0.2197
Ag  0.2852  0.0000  0.5621
Sn  0.2331  0.5000  0.2197
Sn  0.0000  0.2669  0.7197

N(E_F), states/eV/atom: 0.45
Total magnetization, μB/cell: 0.000
Density, g/cm3: 8.03
Final energy, eV per atom: -3.69

=====

[2]
## PrAg3Sn (PBE)

Data for a geometry-optimized PrAg3Sn structure.

a = 7.0964 Å, b = 7.6667 Å, c = 8.8260 Å
α = 104.43°, β = 90.00°, γ = 90.00°
Element x y z (fractional)
Pr  0.4908  0.2642  0.2387
Ag  0.0906  0.1656  0.3670
Ag  0.5906  0.8344  0.1330
Ag  0.8045  0.4625  0.4950
Pr  0.5092  0.7358  0.7613
Ag  0.5344  0.6731  0.3778
Sn  0.2921  0.9584  0.5390
Sn  0.7921  0.0416  0.9610
Sn  0.7079  0.0416  0.4610
Pr  0.0092  0.2642  0.7387
Ag  0.3045  0.5375  0.0050
Sn  0.2079  0.9584  0.0390
Pr  0.9908  0.7358  0.2613
Ag  0.4094  0.1656  0.8670
Ag  0.1955  0.5375  0.5050
Ag  0.9656  0.6731  0.8778
Ag  0.6955  0.4625  0.9950
Ag  0.9094  0.8344  0.6330
Ag  0.0344  0.3269  0.1222
Ag  0.4656  0.3269  0.6222

N(E_F), states/eV/atom: 0.39
Total magnetization, μB/cell: 0.000
Density, g/cm3: 8.33
Final energy, eV per atom: -3.69

=====

[3]
## Pr3AgSn3 (PBE)

Data for a geometry-optimized Pr3AgSn3 structure.

a = 4.7376 Å, b = 6.3278 Å, c = 14.6664 Å
α = 83.94°, β = 80.71°, γ = 68.02°
Element x y z (fractional)
Sn  0.1345  0.2791  0.4520
Sn  0.8655  0.7209  0.5480
Pr  0.5332  0.3161  0.6176
Sn  0.1248  0.8258  0.9247
Pr  0.7388  0.7480  0.7745
Pr  0.4668  0.6839  0.3824
Pr  0.4006  0.2764  0.9223
Ag  0.7631  0.0809  0.3929
Pr  0.2612  0.2520  0.2255
Sn  0.8752  0.1742  0.0753
Pr  0.5994  0.7236  0.0777
Sn  0.0242  0.1836  0.7679
Ag  0.2369  0.9191  0.6071
Sn  0.9758  0.8164  0.2321

N(E_F), states/eV/atom: 0.63
Total magnetization, μB/cell: 0.000
Density, g/cm3: 7.33
Final energy, eV per atom: -4.86

=====

[4]
## Pr4AgSn3 (PBE)

Data for a geometry-optimized Pr4AgSn3 structure.

a = 4.5696 Å, b = 4.5089 Å, c = 11.8349 Å
α = 90.00°, β = 90.00°, γ = 90.00°
Element x y z (fractional)
Sn  0.0000  0.0000  0.4124
Pr  0.5000  0.5000  0.3600
Ag  0.5000  0.5000  0.0774
Sn  0.5000  0.0000  0.9183
Sn  0.0000  0.5000  0.5901
Pr  0.0000  0.0000  0.1370
Pr  0.5000  0.0000  0.6387
Pr  0.0000  0.5000  0.8661

N(E_F), states/eV/atom: 0.86
Total magnetization, μB/cell: 0.000
Density, g/cm3: 7.00
Final energy, eV per atom: -4.88

=====

[5]
## Pr4AgSn (PBE)

Data for a geometry-optimized Pr4AgSn structure.

a = 5.6881 Å, b = 6.6241 Å, c = 11.1669 Å
α = 90.00°, β = 104.75°, γ = 90.00°
Element x y z (fractional)
Pr  0.7097  0.5646  0.4195
Pr  0.1182  0.8223  0.2364
Ag  0.4195  0.3220  0.8390
Ag  0.5805  0.8220  0.1610
Pr  0.4413  0.8222  0.8825
Pr  0.2903  0.0646  0.5805
Pr  0.8818  0.3223  0.7636
Pr  0.5587  0.3222  0.1175
Sn  0.1514  0.3224  0.3028
Sn  0.8486  0.8224  0.6972
Pr  0.7097  0.0798  0.4194
Pr  0.2903  0.5798  0.5806

N(E_F), states/eV/atom: 1.27
Total magnetization, μB/cell: 0.000
Density, g/cm3: 6.45
Final energy, eV per atom: -4.53

=====

[6]
## PrAgSn (PBE)

Data for a geometry-optimized PrAgSn structure.

a = 3.7924 Å, b = 4.8566 Å, c = 4.8566 Å
α = 120.00°, β = 90.00°, γ = 90.00°
Element x y z (fractional)
Sn  0.1664  0.0000  0.0000
Pr  0.6667  0.3333  0.6667
Ag  0.1669  0.6667  0.3333

N(E_F), states/eV/atom: 0.79
Total magnetization, μB/cell: 0.000
Density, g/cm3: 7.88
Final energy, eV per atom: -4.44

=====

[7]
## PrAgSn (PBE)

Data for a geometry-optimized PrAgSn structure.

a = 4.8502 Å, b = 6.1577 Å, c = 6.1577 Å
α = 85.82°, β = 66.81°, γ = 66.81°
Element x y z (fractional)
Pr  0.5000  0.1636  0.8364
Pr  0.0000  0.6252  0.3748
Sn  0.2333  0.7484  0.7850
Ag  0.2902  0.0234  0.3961
Ag  0.7098  0.6039  0.9766
Sn  0.7667  0.2150  0.2516

N(E_F), states/eV/atom: 0.59
Total magnetization, μB/cell: 0.000
Density, g/cm3: 7.89
Final energy, eV per atom: -4.44

=====

[8]
## Pr5Ag2Sn5 (PBE)

Data for a geometry-optimized Pr5Ag2Sn5 structure.

a = 4.6955 Å, b = 6.7376 Å, c = 13.8765 Å
α = 121.12°, β = 90.00°, γ = 110.39°
Element x y z (fractional)
Sn  0.8424  0.6849  0.5499
Sn  0.0000  0.0000  0.0000
Pr  0.5000  0.0000  0.5000
Sn  0.1576  0.3151  0.4501
Pr  0.3480  0.6959  0.7294
Pr  0.6520  0.3041  0.2706
Sn  0.3084  0.6167  0.2173
Ag  0.0598  0.1197  0.7769
Sn  0.6916  0.3833  0.7827
Ag  0.9402  0.8803  0.2231
Pr  0.3392  0.6783  0.9966
Pr  0.6608  0.3217  0.0034

N(E_F), states/eV/atom: 0.42
Total magnetization, μB/cell: 0.000
Density, g/cm3: 7.32
Final energy, eV per atom: -4.65

=====

[9]
## Pr2Ag9Sn (PBE)

Data for a geometry-optimized Pr2Ag9Sn structure.

a = 5.7408 Å, b = 5.7408 Å, c = 9.8117 Å
α = 72.99°, β = 72.99°, γ = 60.00°
Element x y z (fractional)
Ag  0.6664  0.6664  0.0008
Ag  0.5000  0.5000  0.5000
Ag  0.5862  0.0792  0.7484
Ag  0.3336  0.3336  0.9992
Sn  0.0000  0.0000  0.0000
Ag  0.0792  0.5862  0.7484
Ag  0.5862  0.5862  0.7484
Pr  0.1365  0.1365  0.5906
Ag  0.4138  0.4138  0.2516
Ag  0.9208  0.4138  0.2516
Pr  0.8635  0.8635  0.4094
Ag  0.4138  0.9208  0.2516

N(E_F), states/eV/atom: 0.51
Total magnetization, μB/cell: 0.000
Density, g/cm3: 8.64
Final energy, eV per atom: -3.35

=====

[10]
## Pr3Ag2Sn4 (PBE)

Data for a geometry-optimized Pr3Ag2Sn4 structure.

a = 4.7603 Å, b = 6.3324 Å, c = 9.1566 Å
α = 107.23°, β = 90.00°, γ = 112.08°
Element x y z (fractional)
Pr  0.0000  0.0000  0.0000
Pr  0.3646  0.7292  0.3100
Sn  0.7045  0.4090  0.0666
Sn  0.0715  0.1430  0.3899
Pr  0.6354  0.2708  0.6900
Ag  0.3140  0.6279  0.6359
Ag  0.6860  0.3721  0.3641
Sn  0.2955  0.5910  0.9334
Sn  0.9285  0.8570  0.6101

N(E_F), states/eV/atom: 0.31
Total magnetization, μB/cell: 0.000
Density, g/cm3: 7.63
Final energy, eV per atom: -4.61

=====

[11]
## PrAg6Sn6 (PBE)

Data for a geometry-optimized PrAg6Sn6 structure.

a = 5.9507 Å, b = 7.6632 Å, c = 7.6632 Å
α = 78.16°, β = 67.15°, γ = 67.15°
Element x y z (fractional)
Sn  0.6649  0.8351  0.8351
Sn  0.0000  0.6537  0.3463
Sn  0.3351  0.1649  0.1649
Ag  0.5000  0.2483  0.7517
Sn  0.3343  0.6657  0.6657
Ag  0.0000  0.5000  0.0000
Ag  0.5000  0.5000  0.0000
Pr  0.0000  0.0000  0.0000
Sn  0.0000  0.3463  0.6537
Ag  0.5000  0.0000  0.5000
Ag  0.0000  0.0000  0.5000
Sn  0.6657  0.3343  0.3343
Ag  0.5000  0.7517  0.2483

N(E_F), states/eV/atom: 0.34
Total magnetization, μB/cell: 0.000
Density, g/cm3: 8.41
Final energy, eV per atom: -3.66

=====

[12]
## PrAg3Sn2 (PBE)

Data for a geometry-optimized PrAg3Sn2 structure.

a = 4.6505 Å, b = 9.5839 Å, c = 7.2686 Å
α = 117.28°, β = 90.00°, γ = 104.04°
Element x y z (fractional)
Ag  0.3059  0.6118  0.5186
Ag  0.6941  0.3882  0.4814
Pr  0.8786  0.7573  0.9251
Sn  0.5177  0.0354  0.2244
Sn  0.2338  0.4677  0.7812
Pr  0.1214  0.2427  0.0749
Ag  0.6351  0.2702  0.7759
Ag  0.9297  0.8594  0.5315
Sn  0.4823  0.9646  0.7756
Ag  0.0703  0.1406  0.4685
Sn  0.7662  0.5323  0.2188
Ag  0.3649  0.7298  0.2241

N(E_F), states/eV/atom: 0.41
Total magnetization, μB/cell: 0.000
Density, g/cm3: 8.42
Final energy, eV per atom: -3.87

=====

Repeat the eleventh record exactly.
## PrAg6Sn6 (PBE)

Data for a geometry-optimized PrAg6Sn6 structure.

a = 5.9507 Å, b = 7.6632 Å, c = 7.6632 Å
α = 78.16°, β = 67.15°, γ = 67.15°
Element x y z (fractional)
Sn  0.6649  0.8351  0.8351
Sn  0.0000  0.6537  0.3463
Sn  0.3351  0.1649  0.1649
Ag  0.5000  0.2483  0.7517
Sn  0.3343  0.6657  0.6657
Ag  0.0000  0.5000  0.0000
Ag  0.5000  0.5000  0.0000
Pr  0.0000  0.0000  0.0000
Sn  0.0000  0.3463  0.6537
Ag  0.5000  0.0000  0.5000
Ag  0.0000  0.0000  0.5000
Sn  0.6657  0.3343  0.3343
Ag  0.5000  0.7517  0.2483

N(E_F), states/eV/atom: 0.34
Total magnetization, μB/cell: 0.000
Density, g/cm3: 8.41
Final energy, eV per atom: -3.66